# 1
BeMo2Cl | GGA-PBE | relaxed

Output
ΔE to the lowest computed polymorph: 1.13 eV/f.u.
crystal system: monoclinic
calculated total energy: -6.308 eV per atom
uncorrected formation energy: 0.50 eV per atom

Cell lengths 2.759, 4.425, 4.871 Å; angles 90.00, 106.26, 90.00 degrees
Element x y z (fractional)
Be (0.000, 0.000, 0.000)
Mo (0.406, 0.500, 0.813)
Mo (0.743, 0.000, 0.489)
Cl (0.657, 0.500, 0.314)

=====

# 2
TaCl | GGA-PBE | relaxed

Output
crystal system: monoclinic
calculated total energy: -7.109 eV per atom
uncorrected formation energy: -0.26 eV per atom

Cell lengths 7.583, 7.583, 5.151 Å; angles 93.12, 93.12, 24.49 degrees
Element x y z (fractional)
Ta (0.000, 0.000, 0.000)
Ta (0.071, 0.071, 0.520)
Ta (0.642, 0.642, 0.045)
Cl (0.286, 0.286, 0.047)
Cl (0.435, 0.435, 0.581)
Cl (0.702, 0.702, 0.534)

=====

# 3
Dy2HoZr3N6 | GGA-PBE | relaxed

Output
crystal system: monoclinic
calculated total energy: -9.184 eV per atom
uncorrected formation energy: -1.74 eV per atom

Cell lengths 5.782, 5.782, 5.839 Å; angles 99.54, 99.54, 119.91 degrees
Element x y z (fractional)
Dy (0.167, 0.833, 0.000)
Dy (0.833, 0.167, 0.000)
Ho (0.500, 0.500, 0.000)
Zr (0.000, 0.000, 0.500)
Zr (0.334, 0.666, 0.500)
Zr (0.666, 0.334, 0.500)
N (0.079, 0.411, 0.734)
N (0.257, 0.257, 0.266)
N (0.411, 0.079, 0.734)
N (0.589, 0.921, 0.266)
N (0.743, 0.743, 0.734)
N (0.921, 0.589, 0.266)

=====

# 4
EuLu2Mn | GGA-PBE | relaxed

Output
crystal system: tetragonal
calculated total energy: -6.997 eV per atom
ΔH_f (0 K): 0.125 eV per atom

Cell lengths 3.404, 3.404, 9.311 Å; angles 90.00, 90.00, 90.00 degrees
Element x y z (fractional)
Eu (0.000, 0.000, 0.000)
Lu (0.500, 0.500, 0.321)
Lu (0.500, 0.500, 0.679)
Mn (0.000, 0.000, 0.500)

=====

# 5
AcHo2Tm4 | GGA-PBE | relaxed

Output
ΔE to the lowest computed polymorph: 0.00 eV/f.u.
crystal system: triclinic
calculated total energy: -4.393 eV per atom
ΔH_f (0 K): 0.057 eV per atom

Cell lengths 7.084, 8.534, 8.830 Å; angles 114.33, 101.27, 101.73 degrees
Element x y z (fractional)
Ac (0.000, 0.000, 0.000)
Ac (0.414, 0.452, 0.158)
Ho (0.222, 0.157, 0.717)
Ho (0.583, 0.741, 0.590)
Ho (0.705, 0.333, 0.454)
Ho (0.911, 0.459, 0.158)
Tm (0.084, 0.735, 0.586)
Tm (0.108, 0.559, 0.859)
Tm (0.203, 0.337, 0.457)
Tm (0.313, 0.899, 0.328)
Tm (0.497, 0.994, 0.989)
Tm (0.606, 0.563, 0.858)
Tm (0.723, 0.161, 0.727)
Tm (0.811, 0.898, 0.330)

=====

# 6
AgTePN2 | GGA-PBE | relaxed

Output
ΔE to the lowest computed polymorph: 0.00 eV/f.u.
crystal system: tetragonal
calculated total energy: -4.519 eV per atom
uncorrected formation energy: 1.09 eV per atom

Cell lengths 3.663, 3.663, 5.921 Å; angles 90.00, 90.00, 90.00 degrees
Element x y z (fractional)
Ag (0.000, 0.000, 0.000)
Te (0.500, 0.500, 0.000)
P (0.500, 0.500, 0.500)
N (0.000, 0.500, 0.500)
N (0.500, 0.000, 0.500)

=====

# 7
ScHRh3 | GGA-PBE | relaxed

Output
ΔE to the lowest computed polymorph: 0.38 eV/f.u.
crystal system: orthorhombic
calculated total energy: -6.839 eV per atom

Cell lengths 4.906, 4.906, 5.616 Å; angles 90.00, 90.00, 110.26 degrees
Element x y z (fractional)
Sc (0.242, 0.758, 0.750)
Sc (0.758, 0.242, 0.250)
H (0.481, 0.519, 0.250)
H (0.519, 0.481, 0.750)
Rh (0.241, 0.759, 0.250)
Rh (0.249, 0.249, 0.000)
Rh (0.249, 0.249, 0.500)
Rh (0.751, 0.751, 0.000)
Rh (0.751, 0.751, 0.500)
Rh (0.759, 0.241, 0.750)

=====

# 8
Sr2Sn3Pb2 | GGA-PBE | relaxed

Output
crystal system: monoclinic
calculated total energy: -3.640 eV per atom
ΔH_f (0 K): -0.385 eV per atom

Cell lengths 6.547, 6.547, 7.760 Å; angles 98.28, 98.28, 43.70 degrees
Element x y z (fractional)
Sr (0.116, 0.116, 0.311)
Sr (0.884, 0.884, 0.689)
Sn (0.398, 0.398, 0.374)
Sn (0.500, 0.500, 0.000)
Sn (0.602, 0.602, 0.626)
Pb (0.185, 0.185, 0.864)
Pb (0.815, 0.815, 0.136)

=====

# 9
DyTmPb | GGA-PBE | relaxed

Output
crystal system: tetragonal
calculated total energy: -4.344 eV per atom
ΔH_f (0 K): -0.083 eV per atom

Cell lengths 4.207, 4.207, 10.258 Å; angles 90.00, 90.00, 90.00 degrees
Element x y z (fractional)
Dy (0.250, 0.250, 0.094)
Dy (0.750, 0.750, 0.906)
Tm (0.250, 0.250, 0.729)
Tm (0.750, 0.750, 0.271)
Pb (0.250, 0.250, 0.416)
Pb (0.750, 0.750, 0.584)

=====

# 10
La4Pr15Mg | GGA-PBE | relaxed

Output
crystal system: tetragonal
calculated total energy: -4.641 eV per atom
ΔH_f (0 K): 0.009 eV per atom

Cell lengths 5.232, 5.232, 26.150 Å; angles 90.00, 90.00, 90.00 degrees
Element x y z (fractional)
La (0.000, 0.000, 0.101)
La (0.000, 0.000, 0.304)
La (0.000, 0.000, 0.696)
La (0.000, 0.000, 0.899)
Pr (0.000, 0.500, 0.000)
Pr (0.000, 0.500, 0.202)
Pr (0.000, 0.500, 0.404)
Pr (0.000, 0.500, 0.596)
Pr (0.000, 0.500, 0.798)
Pr (0.500, 0.000, 0.000)
Pr (0.500, 0.000, 0.202)
Pr (0.500, 0.000, 0.404)
Pr (0.500, 0.000, 0.596)
Pr (0.500, 0.000, 0.798)
Pr (0.500, 0.500, 0.102)
Pr (0.500, 0.500, 0.305)
Pr (0.500, 0.500, 0.500)
Pr (0.500, 0.500, 0.695)
Pr (0.500, 0.500, 0.898)
Mg (0.000, 0.000, 0.500)

=====

# 11
Pr6Y2Tl | GGA-PBE | relaxed

Output
ΔE to the lowest computed polymorph: 0.31 eV/f.u.
crystal system: monoclinic
calculated total energy: -4.877 eV per atom
ΔH_f (0 K): 0.009 eV per atom

Cell lengths 9.988, 9.988, 3.504 Å; angles 90.22, 90.22, 59.71 degrees
Element x y z (fractional)
Pr (0.172, 0.501, 0.005)
Pr (0.176, 0.824, 0.000)
Pr (0.499, 0.828, 0.995)
Pr (0.501, 0.172, 0.005)
Pr (0.824, 0.176, 0.000)
Pr (0.828, 0.499, 0.995)
Y (0.167, 0.167, 0.500)
Y (0.833, 0.833, 0.500)
Tl (0.500, 0.500, 0.500)

=====

# 12
RbCaAl2Te | GGA-PBE | relaxed

Output
crystal system: tetragonal
calculated total energy: -2.416 eV per atom
uncorrected formation energy: 0.30 eV per atom

Cell lengths 6.145, 6.145, 5.711 Å; angles 90.00, 90.00, 90.00 degrees
Element x y z (fractional)
Rb (0.000, 0.000, 0.000)
Ca (0.500, 0.500, 0.000)
Al (0.000, 0.500, 0.500)
Al (0.500, 0.000, 0.500)
Te (0.500, 0.500, 0.500)

=====

It is found that the total magnetization values, taken in the order of the records, are 0.00, 0.00, 0.00, 5.15, 0.00, 0.62, 0.00, 0.00, 0.00, 0.00, 0.00, 0.00 μB per formula unit.